Version a
The following is a DFT calculation (PBE) of a relaxed Nd5Sm3Y4 crystal.

Structure (CIF):
```
data_Nd5Sm3Y4
_chemical_formula_sum 'Nd5 Sm3 Y4'
_symmetry_space_group_name_H-M 'P -1'
_symmetry_Int_Tables_number 2
_symmetry_space_group_name_Hall '-P 1'
_cell_length_a 6.2907
_cell_length_b 7.2600
_cell_length_c 8.8941
_cell_angle_alpha 89.94
_cell_angle_beta 89.97
_cell_angle_gamma 89.99
loop_
_atom_site_label
_atom_site_type_symbol
_atom_site_fract_x
_atom_site_fract_y
_atom_site_fract_z
Nd1 Nd 0.0000 0.0000 0.0000
Nd2 Nd 0.3324 0.5005 0.6652
Nd3 Nd 0.4998 0.2490 0.0005
Sm1 Sm 0.0000 0.5000 0.0000
Sm2 Sm 0.1666 0.2495 0.3345
Y1 Y 0.1668 0.7519 0.3348
Y2 Y 0.3335 0.0000 0.6648
```


Version b
The following is a DFT calculation (PBE) of a relaxed Nd5Sm3Y4 crystal.

Structure (CIF):
```
data_Nd5Sm3Y4
_chemical_formula_sum 'Nd10 Sm6 Y8'
_symmetry_space_group_name_H-M 'C 1 2/m 1'
_symmetry_Int_Tables_number 12
_symmetry_space_group_name_Hall '-C 2y'
_cell_length_a 16.3224
_cell_length_b 6.0310
_cell_length_c 9.4014
_cell_angle_alpha 90.00
_cell_angle_beta 116.41
_cell_angle_gamma 90.00
loop_
_atom_site_label
_atom_site_type_symbol
_atom_site_fract_x
_atom_site_fract_y
_atom_site_fract_z
Nd1 Nd 0.0000 0.0000 0.0000
Nd2 Nd 0.0760 0.0000 0.6992
Nd3 Nd 0.2084 0.5000 0.2296
Sm1 Sm 0.0000 0.5000 0.0000
Sm2 Sm 0.1736 0.0000 0.3861
Y1 Y 0.0812 0.5000 0.4392
Y2 Y 0.2110 0.5000 0.8771
```


Most stable structure: version a